Entry 1:
The following is a PBE calculation of a geometry-optimized Ac14DyHo structure, from Alexandria via LeMat-Bulk.

```
Ac14DyHo
1.0
7.864 0.000 0.000
0.000 7.864 0.000
0.000 0.000 11.184
Ac Dy Ho
14 1 1
Direct
0.000 0.000 0.000
0.000 0.500 0.000
0.000 0.500 0.500
0.250 0.250 0.257
0.250 0.250 0.743
0.250 0.750 0.257
0.250 0.750 0.743
0.500 0.000 0.000
0.500 0.000 0.500
0.500 0.500 0.000
0.750 0.250 0.257
0.750 0.250 0.743
0.750 0.750 0.257
0.750 0.750 0.743
0.000 0.000 0.500
0.500 0.500 0.500
```

Calculated values
- energy of formation (eV/atom) = 0.031
- DOS at the Fermi energy (states/eV/f.u.) = 27.664
- total magnetic moment (μB/f.u.) = 0.00


Entry 2:
The following is a PBE calculation of a geometry-optimized Li2YScTe structure, from Alexandria via LeMat-Bulk.

```
Li2YScTe
1.0
5.018 0.000 0.000
0.000 5.018 0.000
0.000 0.000 5.531
Li Y Sc Te
2 1 1 1
Direct
0.000 0.500 0.000
0.500 0.000 0.000
0.000 0.000 0.500
0.500 0.500 0.500
0.500 0.500 0.000
```

Calculated values
- uncorrected formation energy (eV/atom) = -0.080
- DOS at the Fermi energy (states/eV/f.u.) = 4.626
- distance to the lowest polymorph of the same formula (meV/atom) = 0
- total magnetic moment (μB/f.u.) = 1.31


Entry 3:
The following is a PBE calculation of a geometry-optimized Sb2TeAsOs structure, from Alexandria via LeMat-Bulk.

```
Sb2TeAsOs
1.0
5.222 0.000 0.000
0.000 5.222 0.000
0.000 0.000 5.263
Sb Te As Os
2 1 1 1
Direct
0.000 0.500 0.000
0.500 0.000 0.000
0.000 0.000 0.500
0.000 0.000 0.000
0.500 0.500 0.500
```

Calculated values
- uncorrected formation energy (eV/atom) = 1.631
- DOS at the Fermi energy (states/eV/f.u.) = 5.500
- distance to the lowest polymorph of the same formula (meV/atom) = 857
- total magnetic moment (μB/f.u.) = 1.92


Entry 4:
The following is a PBE calculation of a geometry-optimized BeRe2S2 structure, from Alexandria via LeMat-Bulk.

```
BeRe2S2
1.0
6.820 0.000 0.000
0.000 6.820 0.000
0.000 0.000 2.968
Be Re S
2 4 4
Direct
0.000 0.000 0.000
0.500 0.500 0.000
0.167 0.333 0.000
0.333 0.833 0.000
0.667 0.167 0.000
0.833 0.667 0.000
0.142 0.642 0.500
0.358 0.142 0.500
0.642 0.858 0.500
0.858 0.358 0.500
```

Calculated values
- uncorrected formation energy (eV/atom) = 0.607
- DOS at the Fermi energy (states/eV/f.u.) = 3.729
- distance to the lowest polymorph of the same formula (meV/atom) = 0
- total magnetic moment (μB/f.u.) = 0.00


Entry 5:
The following is a PBE calculation of a geometry-optimized ErTm4Se5 structure, from Alexandria via LeMat-Bulk.

```
ErTm4Se5
1.0
-4.488 4.488 2.849
4.488 -4.488 2.849
4.488 4.488 -2.849
Er Tm Se
1 4 5
Direct
0.000 0.000 0.000
0.201 0.399 0.600
0.399 0.799 0.198
0.601 0.201 0.802
0.799 0.601 0.400
0.100 0.698 0.798
0.302 0.100 0.401
0.500 0.500 0.000
0.698 0.900 0.599
0.900 0.302 0.202
```

Calculated values
- uncorrected formation energy (eV/atom) = -1.663
- DOS at the Fermi energy (states/eV/f.u.) = 4.701
- total magnetic moment (μB/f.u.) = 0.00


Entry 6:
The following is a PBE calculation of a geometry-optimized TmBeB structure, from Alexandria via LeMat-Bulk.

```
TmBeB
1.0
3.508 0.000 0.000
-1.754 3.038 0.000
0.000 0.000 3.833
Tm Be B
1 1 1
Direct
0.000 0.000 0.000
0.333 0.667 0.500
0.667 0.333 0.500
```

Calculated values
- energy of formation (eV/atom) = -0.242
- DOS at the Fermi energy (states/eV/f.u.) = 2.187
- distance to the lowest polymorph of the same formula (meV/atom) = 0
- total magnetic moment (μB/f.u.) = 0.00


Entry 7:
The following is a PBE calculation of a geometry-optimized Pm2PrCuSe5 structure, from Alexandria via LeMat-Bulk.

```
Pm2PrCuSe5
1.0
2.044 -9.150 0.000
2.044 9.150 0.000
0.000 0.000 12.096
Pm Pr Cu Se
4 2 2 10
Direct
0.104 0.896 0.500
0.116 0.884 0.126
0.884 0.116 0.626
0.896 0.104 0.000
0.194 0.806 0.827
0.806 0.194 0.327
0.437 0.563 0.271
0.563 0.437 0.771
0.041 0.959 0.879
0.292 0.708 0.503
0.322 0.678 0.154
0.360 0.640 0.818
0.499 0.501 0.596
0.501 0.499 0.096
0.640 0.360 0.318
0.678 0.322 0.654
0.708 0.292 0.003
0.959 0.041 0.379
```

Calculated values
- uncorrected formation energy (eV/atom) = -1.556
- DOS at the Fermi energy (states/eV/f.u.) = 0.096
- total magnetic moment (μB/f.u.) = 0.00


Entry 8:
The following is a PBE calculation of a geometry-optimized NiSnTeN2 structure, from Alexandria via LeMat-Bulk.

```
NiSnTeN2
1.0
4.038 0.000 0.000
0.000 4.038 0.000
0.000 0.000 6.263
Ni Sn Te N
1 1 1 2
Direct
0.000 0.000 0.000
0.500 0.500 0.500
0.500 0.500 0.000
0.000 0.500 0.500
0.500 0.000 0.500
```

Calculated values
- uncorrected formation energy (eV/atom) = 1.467
- DOS at the Fermi energy (states/eV/f.u.) = 3.763
- distance to the lowest polymorph of the same formula (meV/atom) = 205
- total magnetic moment (μB/f.u.) = 3.36